{"formula": "NaZnAg", "functional": "PBE-GGA", "state": "relaxed", "de_polymorph_ev_per_atom": 0.2139, "rho_g_cm3": 4.6, "crystal_system": "cubic", "energy_ev_per_atom": -1.683, "ef_ev_per_atom": 0.132, "lattice": [[0.000, 3.291, 3.291], [3.291, 0.000, 3.291], [3.291, 3.291, 0.000]], "species": ["Na", "Zn", "Ag"], "fractional_positions": [[0.000, 0.000, 0.000], [0.500, 0.500, 0.500], [0.250, 0.250, 0.250]]}